Crystalline BaLiW2 at its relaxed geometry. Source: Alexandria, functional PBE.

Cell lengths 4.6512, 4.6512, 6.9899 Å; angles 83.70, 83.70, 39.41 degrees
Closest atoms and distances in Å follow each position.
Atoms (fractional coordinates):
W: 0.2714 0.2714 0.1455  3 W 2.57-2.61, 2 Li 2.76
W: 0.9972 0.9972 0.0351  3 W 2.57-2.61, 3 Li 2.85-2.86
Li: 0.7357 0.7357 0.8285  5 W 2.76-2.86
Ba: 0.4957 0.4957 0.4909  2 Ba 3.14, 1 W 3.29, 3 Li 3.34-3.46

Computed properties:
The value obtained for the size of the total moment is 0.00 μB per atom. As for the symmetry: Cm. As for the formation energy: 0.928 eV per atom. Its mass density is 8.92 g/cm3. As for the offset from the most stable computed form: 236 meV/atom.